1.
Computed, not measured: a geometry-optimized Dy3ScCd12 structure at the PBE level of DFT.

```
Dy3ScCd12
1.0
4.478 0.000 0.000
0.000 4.478 0.000
0.000 0.000 18.839
Dy Sc Cd
3 1 12
direct
0.000 0.000 0.000
0.000 0.000 0.254
0.000 0.000 0.746
0.000 0.000 0.500
0.000 0.500 0.127
0.000 0.500 0.381
0.000 0.500 0.619
0.000 0.500 0.873
0.500 0.000 0.127
0.500 0.000 0.381
0.500 0.000 0.619
0.500 0.000 0.873
0.500 0.500 0.000
0.500 0.500 0.254
0.500 0.500 0.500
0.500 0.500 0.746
```

## Properties
- DFT formation energy: -0.232 eV per atom

***

2.
Computed, not measured: a geometry-optimized CdHg2Pb3 structure at the PBE level of DFT.

```
CdHg2Pb3
1.0
7.570 0.000 0.000
0.000 3.621 0.000
-0.616 0.000 12.355
Cd Hg Pb
2 4 6
direct
0.151 0.250 0.269
0.849 0.750 0.731
0.085 0.250 0.878
0.376 0.750 0.424
0.624 0.250 0.576
0.915 0.750 0.122
0.134 0.250 0.594
0.321 0.750 0.050
0.414 0.750 0.769
0.586 0.250 0.231
0.679 0.250 0.950
0.866 0.750 0.406
```

## Properties
- DFT formation energy: 0.027 eV per atom

***

> Which of these has the lowest DFT formation energy?

Dy3ScCd12

***

Copy entry 1 word for word.
Computed, not measured: a geometry-optimized Dy3ScCd12 structure at the PBE level of DFT.

```
Dy3ScCd12
1.0
4.478 0.000 0.000
0.000 4.478 0.000
0.000 0.000 18.839
Dy Sc Cd
3 1 12
direct
0.000 0.000 0.000
0.000 0.000 0.254
0.000 0.000 0.746
0.000 0.000 0.500
0.000 0.500 0.127
0.000 0.500 0.381
0.000 0.500 0.619
0.000 0.500 0.873
0.500 0.000 0.127
0.500 0.000 0.381
0.500 0.000 0.619
0.500 0.000 0.873
0.500 0.500 0.000
0.500 0.500 0.254
0.500 0.500 0.500
0.500 0.500 0.746
```

## Properties
- DFT formation energy: -0.232 eV per atom